Entry from Alexandria via LeMat-Bulk: an optimized crystal structure of Li2HoMg2Sn2 (PBE).

Results
- SG = R-3m
- DFT total energy (eV/cell) = -22.48
- ΔE_f (eV per atom) = -0.41

Lattice parameters (Å, degrees): 8.5705 8.5705 8.5705 31.68 31.68 31.68
With the nearest neighbours (Å) after each atom.
Fractional positions:
Li1 0.0781 0.0781 0.0781  3 Sn 2.73, 3 Mg 2.93
Li2 0.9219 0.9219 0.9219  3 Sn 2.73, 3 Mg 2.93
Ho1 0.5000 0.5000 0.5000  6 Sn 3.23, 2 Mg 3.31, 6 Li 3.46
Mg1 0.3645 0.3645 0.3645  3 Li 2.93, 4 Sn 3.06-3.11, 3 Mg 3.10
Mg2 0.6355 0.6355 0.6355  3 Li 2.93, 4 Sn 3.06-3.11, 3 Mg 3.10
Sn1 0.2393 0.2393 0.2393  3 Li 2.73, 1 Mg 3.06
Sn2 0.7607 0.7607 0.7607  3 Li 2.73, 1 Mg 3.06

---

Entry from Alexandria via LeMat-Bulk: an optimized crystal structure of Ca2AsAu (PBE).

Results
- SG = I-42d
- DFT total energy (eV/cell) = -28.50
- ΔE_f (eV per atom) = -0.58

Lattice parameters (Å, degrees): 8.6838 8.6838 8.6838 137.52 137.52 61.64
With the nearest neighbours (Å) after each atom.
Fractional positions:
Ca1 0.0960 0.6250 0.9710  2 As 2.81, 2 Au 3.01
Ca2 0.3750 0.3460 0.4710  2 As 2.81, 2 Au 3.01
Ca3 0.6540 0.1250 0.0290  2 As 2.81, 2 Au 3.01
Ca4 0.8750 0.9040 0.5290  2 As 2.81, 2 Au 3.01
As1 0.0000 0.0000 0.0000  4 Ca 2.81
As2 0.7500 0.2500 0.5000  4 Ca 2.81
Au1 0.2500 0.7500 0.5000  4 Ca 3.01
Au2 0.5000 0.5000 0.0000  4 Ca 3.01

---

Entry from Alexandria via LeMat-Bulk: an optimized crystal structure of U2TlAgO8 (PBE).

Results
- energy relative to the elements, uncorrected (eV/atom) = -2.054
- SG = I-4
- DFT total energy (eV/cell) = -92.10

Lattice parameters (Å, degrees): 6.5063 6.5063 6.5063 129.65 129.65 73.96
With the nearest neighbours (Å) after each atom.
Fractional positions:
U1 0.0000 0.0000 0.0000  8 O 2.23-2.24
U2 0.7500 0.2500 0.5000  8 O 2.15-2.35
Tl1 0.2500 0.7500 0.5000  4 O 2.17
Ag1 0.5000 0.5000 0.0000  4 O 2.33
O1 0.0747 0.0488 0.4155  1 Tl 2.17, 2 U 2.23-2.35, 1 O 2.39
O2 0.0854 0.5976 0.8957  2 U 2.15-2.24, 1 Ag 2.33, 1 O 2.39
O3 0.3407 0.9253 0.9740  1 Tl 2.17, 2 U 2.23-2.35, 1 O 2.39
O4 0.4024 0.2980 0.4877  2 U 2.15-2.24, 1 Ag 2.33, 1 O 2.39
O5 0.6333 0.6593 0.5845  1 Tl 2.17, 2 U 2.23-2.35, 1 O 2.39
O6 0.7020 0.1897 0.1043  2 U 2.15-2.24, 1 Ag 2.33, 1 O 2.39
O7 0.8103 0.9146 0.5123  2 U 2.15-2.24, 1 Ag 2.33, 1 O 2.39
O8 0.9512 0.3667 0.0260  1 Tl 2.17, 2 U 2.23-2.35, 1 O 2.39

---

Entry from Alexandria via LeMat-Bulk: an optimized crystal structure of Pa2B2Os (PBE).

Results
- SG = C2/m
- DFT total energy (eV/cell) = -90.22
- ΔE_f (eV per atom) = -0.31

Lattice parameters (Å, degrees): 5.2630 5.2630 9.7985 115.90 115.90 42.63
With the nearest neighbours (Å) after each atom.
Fractional positions:
Pa1 0.1235 0.1235 0.4134  6 B 2.73-2.95, 2 Os 2.81, 2 Pa 2.96
Pa2 0.2867 0.2867 0.8524  7 B 2.83-3.05, 4 Os 2.85-2.93
Pa3 0.7133 0.7133 0.1476  7 B 2.83-3.05, 4 Os 2.85-2.93
Pa4 0.8765 0.8765 0.5866  6 B 2.73-2.95, 2 Os 2.81, 2 Pa 2.96
B1 0.0248 0.0248 0.9271  1 B 1.71
B2 0.4135 0.4135 0.4074  1 B 1.81
B3 0.5865 0.5865 0.5926  1 B 1.81
B4 0.9752 0.9752 0.0729  1 B 1.71
Os1 0.4457 0.4457 0.1908  3 B 2.29-2.32
Os2 0.5543 0.5543 0.8092  3 B 2.29-2.32

---

Q: Among the records above, which one has the lowest DFT total energy?
A: U2TlAgO8

---

Copy entry 4 word for word.
Entry from Alexandria via LeMat-Bulk: an optimized crystal structure of Pa2B2Os (PBE).

Results
- SG = C2/m
- DFT total energy (eV/cell) = -90.22
- ΔE_f (eV per atom) = -0.31

Lattice parameters (Å, degrees): 5.2630 5.2630 9.7985 115.90 115.90 42.63
With the nearest neighbours (Å) after each atom.
Fractional positions:
Pa1 0.1235 0.1235 0.4134  6 B 2.73-2.95, 2 Os 2.81, 2 Pa 2.96
Pa2 0.2867 0.2867 0.8524  7 B 2.83-3.05, 4 Os 2.85-2.93
Pa3 0.7133 0.7133 0.1476  7 B 2.83-3.05, 4 Os 2.85-2.93
Pa4 0.8765 0.8765 0.5866  6 B 2.73-2.95, 2 Os 2.81, 2 Pa 2.96
B1 0.0248 0.0248 0.9271  1 B 1.71
B2 0.4135 0.4135 0.4074  1 B 1.81
B3 0.5865 0.5865 0.5926  1 B 1.81
B4 0.9752 0.9752 0.0729  1 B 1.71
Os1 0.4457 0.4457 0.1908  3 B 2.29-2.32
Os2 0.5543 0.5543 0.8092  3 B 2.29-2.32